Record 1
A plane-wave DFT calculation with PBE was carried out for a relaxed structure of LiNbInPd2.

a b c (Å): 4.319 4.678 4.319
angles (deg): 90.00 90.00 90.00
Last column: magnetic moment on the atom in μB.
Fractional coordinates of all 5 atoms:
Nb 0.000 0.500 0.000  1.39
Li 0.000 0.000 0.000  0.09
Pd 0.000 0.000 0.500  0.23
Pd 0.500 0.000 0.000  0.20
In 0.500 0.500 0.500  0.02

E_form   0.42 eV per atom

Record 2
A plane-wave DFT calculation with PBE was carried out for a relaxed structure of AlZnPb2.

a b c (Å): 4.542 4.542 10.827
angles (deg): 77.89 77.89 90.00
Fractional coordinates of all 8 atoms:
Pb 0.628 0.125 0.250
Pb 0.122 0.625 0.250
Pb 0.375 0.372 0.750
Pb 0.875 0.878 0.750
Zn 0.000 0.000 0.000
Zn 0.750 0.250 0.500
Al 0.500 0.500 0.000
Al 0.250 0.750 0.500

E_form   0.32 eV per atom

It is found that the calculated density values, taken in the order of the records, are 8.135, 7.889 g/cm3.